A geometry-optimized Sn2Bi2Mo structure. Source: Alexandria, functional PBE.

The structure belongs to space group I4/mmm (No. 139); the cell edges are 3.890, 3.890 and 18.955 Å and the angles 90.00°, 90.00° and 90.00°. The inequivalent atoms are Sn at (0.000, 0.500, 0.250), Bi at (0.000, 0.000, 0.083) and Mo at (0.000, 0.000, 0.500).

As for the energy above the most stable polymorph in this dataset: 99 meV per atom. Its total magnetization is 2.00 μB per cell. Its formation enthalpy at 0 K is 0.670 eV per atom. The calculation puts the calculated total energy at -46.49 eV/cell.

=====

A geometry-optimized Sn2Bi2Mo structure. Source: Alexandria, functional PBE.

The structure belongs to space group P4/mbm (No. 127); the cell edges are 7.397, 7.397 and 5.176 Å and the angles 90.00°, 90.00° and 90.00°. The inequivalent atoms are Sn at (0.161, 0.339, 0.000), Bi at (0.154, 0.654, 0.500) and Mo at (0.000, 0.000, 0.500).

As for the energy above the most stable polymorph in this dataset: 0 meV per atom. Its total magnetization is 2.88 μB per cell. Its formation enthalpy at 0 K is 0.571 eV per atom. The calculation puts the calculated total energy at -47.49 eV/cell.

=====

Question: The highest formation enthalpy at 0 K belongs to which entry?
Answer: number 1